VASP calculation (PBE-GGA) on crystalline ReMo2As at its relaxed geometry.

The structure in extended XYZ format:
```
4
Lattice="-3.085 0.382 -0.462 -0.473 -4.571 -0.625 -0.683 -0.497 4.150" Properties=species:S:1:pos:R:3 pbc="T T T"
Mo 0.000 0.000 0.000
Mo -1.779 -2.094 -0.543
As -0.578 -2.534 1.762
Re -1.884 -0.057 1.844
```

Calculated values
As for the total magnetization: 0.000 Bohr magnetons per cell. The calculation puts the electronic total energy at -9.469 eV per atom. The density of states at the Fermi level is 2.318 states/eV/cell. The value obtained for the formation enthalpy at 0 K is 0.221 eV/atom.

---

VASP calculation (PBE-GGA) on crystalline ReMoAs at its relaxed geometry.

The structure in extended XYZ format:
```
3
Lattice="-0.045 -4.130 2.006 4.149 -1.331 1.448 -3.139 3.315 0.489" Properties=species:S:1:pos:R:3 pbc="T T T"
Re 2.746 -3.654 2.312
As 4.103 -5.460 3.454
Mo 1.358 -1.808 1.143
```

Calculated values
As for the total magnetization: 0.000 Bohr magnetons per cell. The calculation puts the electronic total energy at -9.068 eV per atom. The density of states at the Fermi level is 1.526 states/eV/cell. As for the relative energy among the computed polymorphs: 0.164 eV/atom. The value obtained for the formation enthalpy at 0 K is 0.242 eV/atom.

---

VASP calculation (PBE-GGA) on crystalline Re2MoAs at its relaxed geometry.

The structure in extended XYZ format:
```
8
Lattice="-1.647 -3.367 -0.031 2.325 -1.162 2.701 -5.796 0.677 7.883" Properties=species:S:1:pos:R:3 pbc="T T T"
Mo 0.000 0.000 0.000
Mo -3.552 -2.477 4.593
Re -2.132 -1.965 2.290
Re -4.013 -1.230 7.006
Re -0.258 -1.094 3.654
Re -3.834 -3.415 8.155
As -1.566 -1.375 5.959
As 0.339 -2.265 1.335
```

Calculated values
As for the total magnetization: 0.000 Bohr magnetons per cell. The calculation puts the electronic total energy at -9.398 eV per atom. The density of states at the Fermi level is 6.352 states/eV/cell. The value obtained for the formation enthalpy at 0 K is 0.696 eV/atom.

---

VASP calculation (PBE-GGA) on crystalline Re2MoAs at its relaxed geometry.

The structure in extended XYZ format:
```
4
Lattice="-2.945 0.145 0.162 -0.006 -2.259 1.903 0.509 4.430 5.261" Properties=species:S:1:pos:R:3 pbc="T T T"
Re 0.003 0.023 0.027
Re -1.344 0.092 2.397
As 0.253 2.204 2.618
Mo -1.101 2.212 4.914
```

Calculated values
As for the total magnetization: 0.000 Bohr magnetons per cell. The calculation puts the electronic total energy at -9.992 eV per atom. The density of states at the Fermi level is 2.432 states/eV/cell. The value obtained for the formation enthalpy at 0 K is 0.102 eV/atom.

---

VASP calculation (PBE-GGA) on crystalline Re2MoAs at its relaxed geometry.

The structure in extended XYZ format:
```
4
Lattice="-0.906 1.342 2.616 -2.511 -1.777 0.042 3.179 -4.413 3.365" Properties=species:S:1:pos:R:3 pbc="T T T"
As -0.913 -1.321 2.170
Mo 0.676 -3.527 3.852
Re 1.574 -2.185 1.666
Re 0.016 -0.022 0.016
```

Calculated values
As for the total magnetization: 0.000 Bohr magnetons per cell. The calculation puts the electronic total energy at -9.894 eV per atom. The density of states at the Fermi level is 2.528 states/eV/cell. The value obtained for the formation enthalpy at 0 K is 0.200 eV/atom.

---

VASP calculation (PBE-GGA) on crystalline Re2MoAs at its relaxed geometry.

The structure in extended XYZ format:
```
4
Lattice="3.029 0.000 0.000 0.000 4.444 0.000 0.000 0.000 4.533" Properties=species:S:1:pos:R:3 pbc="T T T"
Mo 0.000 2.222 2.267
Re 0.000 0.000 0.000
Re 1.514 2.222 0.000
As 1.514 0.000 2.267
```

Calculated values
As for the total magnetization: 0.000 Bohr magnetons per cell. The calculation puts the electronic total energy at -9.794 eV per atom. The density of states at the Fermi level is 3.680 states/eV/cell. The value obtained for the formation enthalpy at 0 K is 0.300 eV/atom.

---

VASP calculation (PBE-GGA) on crystalline Re2MoAs at its relaxed geometry.

The structure in extended XYZ format:
```
4
Lattice="2.764 -0.018 0.000 -1.100 2.536 0.000 0.000 0.000 9.023" Properties=species:S:1:pos:R:3 pbc="T T T"
Re 0.000 0.000 4.572
Re 0.000 0.000 8.962
As 0.832 1.259 2.256
Mo 0.832 1.259 6.767
```

Calculated values
As for the total magnetization: 0.000 Bohr magnetons per cell. The calculation puts the electronic total energy at -9.629 eV per atom. The density of states at the Fermi level is 2.521 states/eV/cell. The value obtained for the formation enthalpy at 0 K is 0.465 eV/atom.

---

VASP calculation (PBE-GGA) on crystalline ReMo2As at its relaxed geometry.

The structure in extended XYZ format:
```
4
Lattice="4.433 0.000 0.000 0.000 3.734 0.000 0.000 0.000 3.734" Properties=species:S:1:pos:R:3 pbc="T T T"
Re 2.217 1.867 0.000
As 2.217 0.000 1.867
Mo 0.000 1.867 1.867
Mo 0.000 0.000 0.000
```

Calculated values
As for the total magnetization: 0.000 Bohr magnetons per cell. The calculation puts the electronic total energy at -9.282 eV per atom. The density of states at the Fermi level is 3.877 states/eV/cell. The value obtained for the formation enthalpy at 0 K is 0.408 eV/atom.